# Nd7Sm16Ho6

A geometry-optimized Nd7Sm16Ho6 structure (GGA-PBE, Alexandria).

extended XYZ file:
```
29
Lattice="9.806 0.000 5.661 3.269 9.245 5.661 0.000 0.000 11.323" Properties=species:S:1:pos:R:3 pbc="T T T"
Sm 6.537 8.802 11.323
Sm 6.562 8.080 16.984
Sm 10.477 3.229 11.323
Ho 3.452 2.441 11.323
Sm 8.507 6.016 7.910
Nd 0.000 0.000 5.661
Sm 11.427 8.080 14.175
Sm 3.269 5.751 5.661
Sm 4.567 3.229 14.735
Nd 0.000 0.000 0.000
Sm 6.537 0.443 11.323
Ho 8.080 2.441 13.994
Sm 11.427 8.080 19.793
Nd 4.903 0.000 2.831
Ho 4.994 6.804 8.651
Sm 1.647 1.165 2.852
Ho 8.080 2.441 8.651
Nd 4.903 0.000 8.492
Sm 9.806 3.494 16.984
Sm 4.567 3.229 7.910
Sm 8.507 6.016 14.735
Nd 1.634 4.622 8.492
Nd 1.634 4.622 2.831
Sm 1.647 1.165 8.470
Nd 6.537 4.622 5.661
Ho 9.622 6.804 11.323
Sm 6.512 1.165 5.661
Sm 2.597 6.016 11.323
Ho 4.994 6.804 13.994
```

Results
- ΔE_f (eV per formula unit) = 6.94